[1]
# TbHo2Tc

A geometry-optimized TbHo2Tc structure (GGA-PBE, Alexandria via LeMat-Bulk).

As for the electronic total energy: -0.2259 hartree per atom.

The space group is Pnma (No. 62) and the conventional cell measures 7.438, 9.126 and 6.243 Å, with angles of 90.00, 90.00 and 90.00 degrees. The distinct sites, in fractional coordinates, are Tb at (0.042, 0.250, 0.127), Ho at (0.176, 0.064, 0.658) and Tc at (0.115, 0.750, 0.457).

=====

[2]
# TbHo2Tc

A geometry-optimized TbHo2Tc structure (GGA-PBE, Alexandria via LeMat-Bulk).

As for the electronic total energy: -0.2122 hartree per atom.

The space group is R-3m (No. 166, hexagonal axes) and the conventional cell measures 3.4041, 3.4041 and 32.8076 Å, with angles of 90.00, 90.00 and 120.00 degrees. The distinct sites, in fractional coordinates, are Tb at (0.0000, 0.0000, 0.0000), Ho at (0.0000, 0.0000, 0.1051) and Tc at (0.0000, 0.0000, 0.5000).

=====

[3]
# TbHo3Tc

A geometry-optimized TbHo3Tc structure (GGA-PBE, Alexandria via LeMat-Bulk).

As for the electronic total energy: -0.2135 hartree per atom.

The space group is P2_1/m (No. 11) and the conventional cell measures 8.622, 3.768 and 8.627 Å, with angles of 90.00, 101.87 and 90.00 degrees. The distinct sites, in fractional coordinates, are Tb at (0.169, 0.250, 0.011), Ho at (0.025, 0.750, 0.666), Ho at (0.340, 0.750, 0.386), Ho at (0.424, 0.750, 0.819) and Tc at (0.262, 0.250, 0.601).

=====

[4]
# Tb3HoTc

A geometry-optimized Tb3HoTc structure (GGA-PBE, Alexandria via LeMat-Bulk).

As for the electronic total energy: -0.2140 hartree per atom.

The space group is Cm (No. 8) and the conventional cell measures 12.073, 3.910 and 12.819 Å, with angles of 90.00, 112.34 and 90.00 degrees. The distinct sites, in fractional coordinates, are Tb at (0.000, 0.000, 0.000), Tb at (0.025, 0.000, 0.375), Tb at (0.168, 0.500, 0.239), Tb at (0.194, 0.500, 0.612), Tb at (0.225, 0.000, 0.857), Tb at (0.340, 0.000, 0.138), Ho at (0.354, 0.000, 0.475), Ho at (0.471, 0.000, 0.755), Tc at (0.027, 0.000, 0.611) and Tc at (0.166, 0.500, 0.000).

=====

[5]
# Tb2Ho3Tc2

A geometry-optimized Tb2Ho3Tc2 structure (GGA-PBE, Alexandria via LeMat-Bulk).

As for the electronic total energy: -0.2322 hartree per atom.

The space group is C2/m (No. 12) and the conventional cell measures 12.097, 3.844 and 8.429 Å, with angles of 90.00, 112.96 and 90.00 degrees. The distinct sites, in fractional coordinates, are Tb at (0.162, 0.000, 0.315), Ho at (0.000, 0.500, 0.500), Ho at (0.125, 0.500, 0.932) and Tc at (0.177, 0.000, 0.714).

=====

[6]
# Tb2HoTc9

A geometry-optimized Tb2HoTc9 structure (GGA-PBE, Alexandria via LeMat-Bulk).

As for the electronic total energy: -0.3295 hartree per atom.

The space group is R-3m (No. 166, hexagonal axes) and the conventional cell measures 5.3492, 5.3492 and 26.2689 Å, with angles of 90.00, 90.00 and 120.00 degrees. The distinct sites, in fractional coordinates, are Tb at (0.0000, 0.0000, 0.1437), Ho at (0.0000, 0.0000, 0.0000), Tc at (0.0000, 0.0000, 0.3377), Tc at (0.0000, 0.0000, 0.5000) and Tc at (0.0093, 0.5047, 0.9170).

=====

[7]
# TbHo2Tc

A geometry-optimized TbHo2Tc structure (GGA-PBE, Alexandria via LeMat-Bulk).

As for the electronic total energy: -0.2258 hartree per atom.

The space group is Cmcm (No. 63) and the conventional cell measures 3.900, 11.898 and 9.145 Å, with angles of 90.00, 90.00 and 90.00 degrees. The distinct sites, in fractional coordinates, are Tb at (0.000, 0.072, 0.250), Ho at (0.000, 0.355, 0.067) and Tc at (0.000, 0.261, 0.750).

=====

[8]
# TbHo3Tc

A geometry-optimized TbHo3Tc structure (GGA-PBE, Alexandria via LeMat-Bulk).

As for the electronic total energy: -0.2137 hartree per atom.

The space group is Cm (No. 8) and the conventional cell measures 12.032, 3.885 and 12.748 Å, with angles of 90.00, 112.38 and 90.00 degrees. The distinct sites, in fractional coordinates, are Tb at (0.000, 0.000, 0.000), Tb at (0.116, 0.000, 0.284), Ho at (0.127, 0.000, 0.617), Ho at (0.244, 0.000, 0.899), Ho at (0.274, 0.500, 0.144), Ho at (0.302, 0.500, 0.520), Ho at (0.441, 0.000, 0.381), Ho at (0.470, 0.000, 0.755), Tc at (0.302, 0.500, 0.754) and Tc at (0.440, 0.000, 0.145).

=====

[9]
# TbHoThTc

A geometry-optimized TbHoThTc structure (GGA-PBE, Alexandria via LeMat-Bulk).

As for the electronic total energy: -0.2424 hartree per atom.

The space group is R3m (No. 160, hexagonal axes) and the conventional cell measures 4.7500, 4.7500 and 17.7547 Å, with angles of 90.00, 90.00 and 120.00 degrees. The distinct sites, in fractional coordinates, are Tb at (0.0000, 0.0000, 0.0000), Ho at (0.0000, 0.0000, 0.7850), Th at (0.0000, 0.0000, 0.5543) and Tc at (0.0000, 0.0000, 0.1930).

=====

[10]
# TbHoZnTc

A geometry-optimized TbHoZnTc structure (GGA-PBE, Alexandria via LeMat-Bulk).

As for the electronic total energy: -0.1970 hartree per atom.

The space group is F-43m (No. 216) and the conventional cell measures 6.963, 6.963 and 6.963 Å, with angles of 90.00, 90.00 and 90.00 degrees. The distinct sites, in fractional coordinates, are Tb at (0.000, 0.000, 0.000), Ho at (0.000, 0.000, 0.500), Zn at (0.250, 0.250, 0.250) and Tc at (0.250, 0.250, 0.750).

=====

[11]
# Tb2Ho3Te8

A geometry-optimized Tb2Ho3Te8 structure (GGA-PBE, Alexandria via LeMat-Bulk).

The formation energy without anion corrections comes out at -1.256 eV per atom.

The space group is C2/m (No. 12) and the conventional cell measures 15.300, 8.678 and 7.486 Å, with angles of 90.00, 108.56 and 90.00 degrees. The distinct sites, in fractional coordinates, are Tb at (0.249, 0.000, 0.169), Ho at (0.000, 0.243, 0.500), Ho at (0.000, 0.500, 0.000), Te at (0.118, 0.000, 0.401), Te at (0.120, 0.500, 0.415) and Te at (0.121, 0.252, 0.912).

=====

[12]
# Tb3HoTe3

A geometry-optimized Tb3HoTe3 structure (GGA-PBE, Alexandria via LeMat-Bulk).

The formation energy without anion corrections comes out at -1.016 eV per atom.

The space group is R-3 (No. 148, hexagonal axes) and the conventional cell measures 8.9705, 8.9705 and 17.8028 Å, with angles of 90.00, 90.00 and 120.00 degrees. The distinct sites, in fractional coordinates, are Tb at (0.0074, 0.7587, 0.4149), Ho at (0.0000, 0.0000, 0.1876) and Te at (0.0194, 0.6169, 0.5813).

=====

[13]
# TbHo2Te

A geometry-optimized TbHo2Te structure (GGA-PBE, Alexandria via LeMat-Bulk).

The formation energy without anion corrections comes out at -0.523 eV per atom.

The space group is R3m (No. 160, hexagonal axes) and the conventional cell measures 3.8644, 3.8644 and 29.2490 Å, with angles of 90.00, 90.00 and 120.00 degrees. The distinct sites, in fractional coordinates, are Tb at (0.0000, 0.0000, 0.0000), Ho at (0.0000, 0.0000, 0.5727), Ho at (0.0000, 0.0000, 0.7613) and Te at (0.0000, 0.0000, 0.1669).

=====

[14]
# TbHo2Te3

A geometry-optimized TbHo2Te3 structure (GGA-PBE, Alexandria via LeMat-Bulk).

The formation energy without anion corrections comes out at -1.266 eV per atom.

The space group is Immm (No. 71) and the conventional cell measures 4.383, 6.125 and 12.976 Å, with angles of 90.00, 90.00 and 90.00 degrees. The distinct sites, in fractional coordinates, are Tb at (0.000, 0.000, 0.000), Ho at (0.000, 0.000, 0.338), Te at (0.000, 0.500, 0.000) and Te at (0.000, 0.500, 0.330).

=====

[15]
# TbHo2Te

A geometry-optimized TbHo2Te structure (GGA-PBE, Alexandria via LeMat-Bulk).

The formation energy without anion corrections comes out at -0.545 eV per atom.

The space group is P4/mmm (No. 123) and the conventional cell measures 3.846, 3.846 and 7.900 Å, with angles of 90.00, 90.00 and 90.00 degrees. The distinct sites, in fractional coordinates, are Tb at (0.000, 0.000, 0.000), Ho at (0.500, 0.500, 0.275) and Te at (0.000, 0.000, 0.500).

=====

[16]
# TbHo5Te4

A geometry-optimized TbHo5Te4 structure (GGA-PBE, Alexandria via LeMat-Bulk).

The formation energy without anion corrections comes out at -0.891 eV per atom.

The space group is C2/m (No. 12) and the conventional cell measures 18.198, 4.132 and 8.499 Å, with angles of 90.00, 102.68 and 90.00 degrees. The distinct sites, in fractional coordinates, are Tb at (0.000, 0.000, 0.000), Ho at (0.000, 0.000, 0.500), Ho at (0.162, 0.500, 0.783), Ho at (0.190, 0.500, 0.359), Te at (0.013, 0.500, 0.258) and Te at (0.169, 0.000, 0.065).

=====

[17]
# TbHo2Te

A geometry-optimized TbHo2Te structure (GGA-PBE, Alexandria via LeMat-Bulk).

The formation energy without anion corrections comes out at -0.193 eV per atom.

The space group is R-3m (No. 166, hexagonal axes) and the conventional cell measures 3.7908, 3.7908 and 32.2568 Å, with angles of 90.00, 90.00 and 120.00 degrees. The distinct sites, in fractional coordinates, are Tb at (0.0000, 0.0000, 0.0000), Ho at (0.0000, 0.0000, 0.1025) and Te at (0.0000, 0.0000, 0.5000).

=====

[18]
# TbHo2Te

A geometry-optimized TbHo2Te structure (GGA-PBE, Alexandria via LeMat-Bulk).

The formation energy without anion corrections comes out at -0.646 eV per atom.

The space group is Cmcm (No. 63) and the conventional cell measures 3.934, 12.075 and 9.826 Å, with angles of 90.00, 90.00 and 90.00 degrees. The distinct sites, in fractional coordinates, are Tb at (0.000, 0.056, 0.250), Ho at (0.000, 0.365, 0.036) and Te at (0.000, 0.234, 0.750).

=====

[19]
# TbHo8Te2

A geometry-optimized TbHo8Te2 structure (GGA-PBE, Alexandria via LeMat-Bulk).

The formation energy without anion corrections comes out at -0.112 eV per atom.

The space group is C2/m (No. 12) and the conventional cell measures 14.848, 8.728 and 5.677 Å, with angles of 90.00, 98.73 and 90.00 degrees. The distinct sites, in fractional coordinates, are Tb at (0.000, 0.000, 0.000), Ho at (0.080, 0.315, 0.772), Ho at (0.145, 0.500, 0.292), Ho at (0.216, 0.000, 0.124) and Te at (0.131, 0.000, 0.577).

=====

[20]
# TbHo2Te4

A geometry-optimized TbHo2Te4 structure (GGA-PBE, Alexandria via LeMat-Bulk).

The formation energy without anion corrections comes out at -1.378 eV per atom.

The space group is C2/m (No. 12) and the conventional cell measures 16.278, 4.337 and 7.548 Å, with angles of 90.00, 117.29 and 90.00 degrees. The distinct sites, in fractional coordinates, are Tb at (0.000, 0.000, 0.000), Ho at (0.244, 0.500, 0.730), Te at (0.122, 0.000, 0.454) and Te at (0.130, 0.500, 0.967).

=====

[21]
# Tb5HoTe4

A geometry-optimized Tb5HoTe4 structure (GGA-PBE, Alexandria via LeMat-Bulk).

The formation energy without anion corrections comes out at -0.925 eV per atom.

The space group is C2/m (No. 12) and the conventional cell measures 18.280, 4.159 and 8.523 Å, with angles of 90.00, 102.24 and 90.00 degrees. The distinct sites, in fractional coordinates, are Tb at (0.000, 0.000, 0.000), Tb at (0.164, 0.500, 0.289), Tb at (0.187, 0.500, 0.859), Ho at (0.000, 0.000, 0.500), Te at (0.011, 0.500, 0.753) and Te at (0.167, 0.000, 0.567).

=====

[22]
# Tb3HoTe4

A geometry-optimized Tb3HoTe4 structure (GGA-PBE, Alexandria via LeMat-Bulk).

The formation energy without anion corrections comes out at -1.293 eV per atom.

The space group is Cmmm (No. 65) and the conventional cell measures 8.836, 12.340 and 4.305 Å, with angles of 90.00, 90.00 and 90.00 degrees. The distinct sites, in fractional coordinates, are Tb at (0.000, 0.000, 0.000), Tb at (0.250, 0.250, 0.500), Ho at (0.000, 0.500, 0.000), Te at (0.000, 0.251, 0.000) and Te at (0.248, 0.500, 0.500).

=====

[23]
# TbHoTe2

A geometry-optimized TbHoTe2 structure (GGA-PBE, Alexandria via LeMat-Bulk).

The formation energy without anion corrections comes out at -1.307 eV per atom.

The space group is R3m (No. 160, hexagonal axes) and the conventional cell measures 4.2023, 4.2023 and 22.9568 Å, with angles of 90.00, 90.00 and 120.00 degrees. The distinct sites, in fractional coordinates, are Tb at (0.0000, 0.0000, 0.0000), Ho at (0.0000, 0.0000, 0.1735), Te at (0.0000, 0.0000, 0.5849) and Te at (0.0000, 0.0000, 0.7552).

=====

[24]
# TbHo2Te3

A geometry-optimized TbHo2Te3 structure (GGA-PBE, Alexandria via LeMat-Bulk).

The formation energy without anion corrections comes out at -1.286 eV per atom.

The space group is R-3c (No. 167, hexagonal axes) and the conventional cell measures 7.2434, 7.2434 and 23.2120 Å, with angles of 90.00, 90.00 and 120.00 degrees. The distinct sites, in fractional coordinates, are Tb at (0.0000, 0.0000, 0.0000), Ho at (0.0000, 0.0000, 0.1662) and Te at (0.0000, 0.3311, 0.2500).